Density functional theory data (GGA+U) for crystalline Li2Mn2P4H3O16 at its relaxed geometry.

## Properties
electronic total energy: -180.3 eV per formula unit
volume: 285.6 Å³/cell
mass density: 2.9 Mg/m³

```
data_Li2Mn2P4H3O16
_cell_length_a 4.8534
_cell_length_b 7.3797
_cell_length_c 8.2545
_cell_angle_alpha 87.19
_cell_angle_beta 89.95
_cell_angle_gamma 75.27
_space_group_name_H-M_alt 'P 1'
_space_group_IT_number 1
loop_
_space_group_symop_operation_xyz
'x,y,z'
loop_
_atom_site_label
_atom_site_type_symbol
_atom_site_fract_x
_atom_site_fract_y
_atom_site_fract_z
Li1 Li 0.0000 0.0000 0.0000
Li2 Li 0.1872 0.7159 0.7229
Mn1 Mn 0.0801 0.8675 0.3609
Mn2 Mn 0.5936 0.3639 0.8682
P1 P 0.2131 0.1173 0.7193
P2 P 0.4635 0.1352 0.2081
P3 P 0.7081 0.6009 0.5176
P4 P 0.9593 0.6235 0.0076
H1 H 0.1405 0.3690 0.3207
H2 H 0.6198 0.8510 0.8543
H3 H 0.9203 0.2834 0.4917
O1 O 0.0266 0.6940 0.1674
O2 O 0.0950 0.1020 0.5493
O3 O 0.2201 0.5233 0.9062
O4 O 0.2355 0.0216 0.1941
O5 O 0.3315 0.3346 0.2683
O6 O 0.3355 0.9215 0.8022
O7 O 0.4352 0.2362 0.7065
O8 O 0.4558 0.7166 0.4176
O9 O 0.5852 0.1636 0.0363
O10 O 0.6104 0.5545 0.6907
O11 O 0.7073 0.0335 0.3224
O12 O 0.7433 0.5023 0.0264
O13 O 0.8385 0.8044 0.8898
O14 O 0.8463 0.4164 0.4299
O15 O 0.9355 0.7160 0.5324
O16 O 0.9697 0.2122 0.8368
```